VASP calculation (GGA-PBE) on crystalline La4GePS2 at its relaxed geometry.

As for the symmetry: P2/m, No. 10. Its formation energy (no corrections) is -1325.5 kJ/mol of formula units.

abc: 7.3631 4.2803 7.4028
angles: 90.00 109.61 90.00
Last column: nearest neighbours and their distance in Å.
Element x y z (fractional)
La 0.2457 0.0000 0.2463  2 P 2.99, 1 Ge 3.01, 3 S 3.02-3.04
La 0.2492 0.5000 0.7520  1 P 3.00, 3 S 3.01-3.03, 2 Ge 3.02
La 0.7508 0.5000 0.2480  1 P 3.00, 3 S 3.01-3.03, 2 Ge 3.02
La 0.7543 0.0000 0.7537  2 P 2.99, 1 Ge 3.01, 3 S 3.02-3.04
Ge 0.0000 0.0000 0.5000  6 La 3.01-3.02
P 0.0000 0.5000 0.0000  6 La 2.99-3.00
S 0.5000 0.0000 0.0000  6 La 3.01-3.02
S 0.5000 0.5000 0.5000  6 La 3.03-3.04

VASP calculation (GGA-PBE) on crystalline La6GeP2S3 at its relaxed geometry.

As for the symmetry: C2/m, No. 12. Its formation energy (no corrections) is -2067.2 kJ/mol of formula units.

abc: 9.5025 9.5025 8.4806
angles: 102.69 102.69 25.93
Last column: nearest neighbours and their distance in Å.
Element x y z (fractional)
La 0.0012 0.0012 0.2519  3 S 3.00-3.03, 1 P 3.01, 2 Ge 3.01
La 0.3318 0.3318 0.4203  3 P 2.96-2.97, 3 S 3.02-3.03
La 0.3329 0.3329 0.9128  2 P 2.99, 3 S 3.00-3.04, 1 Ge 3.02
La 0.6671 0.6671 0.0872  2 P 2.99, 3 S 3.00-3.04, 1 Ge 3.02
La 0.6682 0.6682 0.5797  3 P 2.96-2.97, 3 S 3.02-3.03
La 0.9988 0.9988 0.7481  3 S 3.00-3.03, 1 P 3.01, 2 Ge 3.01
Ge 0.5000 0.5000 0.0000  6 La 3.01-3.02
P 0.1678 0.1678 0.3351  6 La 2.96-3.01
P 0.8322 0.8322 0.6649  6 La 2.96-3.01
S 0.1669 0.1669 0.8319  6 La 3.00-3.04
S 0.5000 0.5000 0.5000  6 La 3.00-3.03
S 0.8331 0.8331 0.1681  6 La 3.00-3.04

Copy entry 2 word for word.
VASP calculation (GGA-PBE) on crystalline La6GeP2S3 at its relaxed geometry.

As for the symmetry: C2/m, No. 12. Its formation energy (no corrections) is -2067.2 kJ/mol of formula units.

abc: 9.5025 9.5025 8.4806
angles: 102.69 102.69 25.93
Last column: nearest neighbours and their distance in Å.
Element x y z (fractional)
La 0.0012 0.0012 0.2519  3 S 3.00-3.03, 1 P 3.01, 2 Ge 3.01
La 0.3318 0.3318 0.4203  3 P 2.96-2.97, 3 S 3.02-3.03
La 0.3329 0.3329 0.9128  2 P 2.99, 3 S 3.00-3.04, 1 Ge 3.02
La 0.6671 0.6671 0.0872  2 P 2.99, 3 S 3.00-3.04, 1 Ge 3.02
La 0.6682 0.6682 0.5797  3 P 2.96-2.97, 3 S 3.02-3.03
La 0.9988 0.9988 0.7481  3 S 3.00-3.03, 1 P 3.01, 2 Ge 3.01
Ge 0.5000 0.5000 0.0000  6 La 3.01-3.02
P 0.1678 0.1678 0.3351  6 La 2.96-3.01
P 0.8322 0.8322 0.6649  6 La 2.96-3.01
S 0.1669 0.1669 0.8319  6 La 3.00-3.04
S 0.5000 0.5000 0.5000  6 La 3.00-3.03
S 0.8331 0.8331 0.1681  6 La 3.00-3.04